# Er2CuSe (PBE-GGA, relaxed)
# Total magnetic moment ... 0.00 μB/f.u.
# Space-group type ... R3m (160)
# Final energy ... -5.040 eV per atom
# Polymorph energy (0 for the lowest one) ... 141 meV per atom
# E_form (uncorrected) ... -0.863 eV per atom
# D(E_F) ... 3.2 states/eV/f.u.
data_Er2CuSe
_chemical_formula_sum 'Er2 Cu1 Se1'
_symmetry_space_group_name_H-M 'P 1'
_symmetry_Int_Tables_number 1
_cell_length_a 7.4931
_cell_length_b 7.4931
_cell_length_c 7.4931
_cell_angle_alpha 30.14
_cell_angle_beta 30.14
_cell_angle_gamma 30.14
loop_
_symmetry_equiv_pos_as_xyz
'x,y,z'
loop_
_atom_site_label
_atom_site_type_symbol
_atom_site_fract_x
_atom_site_fract_y
_atom_site_fract_z
Er1 Er 0.0000 0.0000 0.0000
Er2 Er 0.1782 0.1782 0.1782
Cu1 Cu 0.5885 0.5885 0.5885
Se1 Se 0.7570 0.7570 0.7570